No. 1
Dy7In2Ir2: optimized geometry, PBE.

Results
Magnetization ... 0.00 μB per cell
Calculated total energy ... -5.507 eV per atom
Energy relative to the elements ... -0.47 eV/atom
Crystal system ... orthorhombic
Mass density ... 9.17 g cm⁻³

a = 8.218 Å, b = 10.918 Å, c = 7.073 Å
α = 90.00°, β = 90.00°, γ = 90.00°
Space group Cmmm (No. 65)
Symmetry-distinct sites (fractional):
Dy1 0.000 0.000 0.000 (multiplicity 2)
Dy2 0.000 0.500 0.242 (multiplicity 4)
Dy3 0.250 0.250 0.248 (multiplicity 8)
In1 0.176 0.000 0.500 (multiplicity 4)
Ir1 0.000 0.287 0.000 (multiplicity 4)


No. 2
Dy2InIr: optimized geometry, PBE.

Results
Magnetization ... 0.00 μB per cell
Relative energy among the computed polymorphs ... 120.7 meV/atom
Calculated total energy ... -5.754 eV per atom
Energy relative to the elements ... -0.55 eV/atom
Crystal system ... cubic
Mass density ... 11.36 g cm⁻³

a = 7.177 Å, b = 7.177 Å, c = 7.177 Å
α = 90.00°, β = 90.00°, γ = 90.00°
Space group Fm-3m (No. 225)
Symmetry-distinct sites (fractional):
Dy1 0.250 0.250 0.250 (multiplicity 8)
In1 0.000 0.000 0.000 (multiplicity 4)
Ir1 0.000 0.000 0.500 (multiplicity 4)


No. 3
Dy5In4Ir: optimized geometry, PBE.

Results
Magnetization ... 0.12 μB per cell
Calculated total energy ... -4.842 eV per atom
Energy relative to the elements ... -0.56 eV/atom
Crystal system ... tetragonal
Mass density ... 9.63 g cm⁻³

a = 3.501 Å, b = 3.501 Å, c = 20.590 Å
α = 90.00°, β = 90.00°, γ = 90.00°
Space group P4/mmm (No. 123)
Symmetry-distinct sites (fractional):
Dy1 0.000 0.000 0.000 (multiplicity 1)
Dy2 0.000 0.000 0.209 (multiplicity 2)
Dy3 0.000 0.000 0.420 (multiplicity 2)
In1 0.500 0.500 0.104 (multiplicity 2)
In2 0.500 0.500 0.311 (multiplicity 2)
Ir1 0.500 0.500 0.500 (multiplicity 1)


No. 4
Dy3InIr8: optimized geometry, PBE.

Results
Magnetization ... 0.00 μB per cell
Calculated total energy ... -7.887 eV per atom
Energy relative to the elements ... -0.60 eV/atom
Crystal system ... trigonal
Mass density ... 16.49 g cm⁻³

a = 5.3379 Å, b = 5.3379 Å, c = 26.2002 Å
α = 90.00°, β = 90.00°, γ = 120.00°
Space group R3m (No. 160, hexagonal axes)
Symmetry-distinct sites (fractional):
Dy1 0.0000 0.0000 0.0000 (multiplicity 3)
Dy2 0.0000 0.0000 0.1274 (multiplicity 3)
Dy3 0.0000 0.0000 0.6209 (multiplicity 3)
In1 0.0000 0.0000 0.4980 (multiplicity 3)
Ir1 0.0000 0.0000 0.3123 (multiplicity 3)
Ir2 0.0000 0.0000 0.8122 (multiplicity 3)
Ir3 0.0002 0.5001 0.0619 (multiplicity 9)
Ir4 0.0006 0.5003 0.5622 (multiplicity 9)


No. 5
Dy2InIr: optimized geometry, PBE.

Results
Magnetization ... 0.00 μB per cell
Relative energy among the computed polymorphs ... 148.8 meV/atom
Calculated total energy ... -5.726 eV per atom
Energy relative to the elements ... -0.52 eV/atom
Crystal system ... trigonal
Mass density ... 9.71 g cm⁻³

a = 3.9192 Å, b = 3.9192 Å, c = 24.3650 Å
α = 90.00°, β = 90.00°, γ = 120.00°
Space group R-3m (No. 166, hexagonal axes)
Symmetry-distinct sites (fractional):
Dy1 0.0000 0.0000 0.2324 (multiplicity 6)
In1 0.0000 0.0000 0.0000 (multiplicity 3)
Ir1 0.0000 0.0000 0.5000 (multiplicity 3)


No. 6
Dy3InIr: optimized geometry, PBE.

Results
Magnetization ... 0.00 μB per cell
Relative energy among the computed polymorphs ... 108.6 meV/atom
Calculated total energy ... -5.551 eV per atom
Energy relative to the elements ... -0.47 eV/atom
Crystal system ... orthorhombic
Mass density ... 9.17 g cm⁻³

a = 14.776 Å, b = 10.763 Å, c = 7.234 Å
α = 90.00°, β = 90.00°, γ = 90.00°
Space group Cmcm (No. 63)
Symmetry-distinct sites (fractional):
Dy1 0.131 0.000 0.000 (multiplicity 8)
Dy2 0.144 0.332 0.006 (multiplicity 16)
In1 0.000 0.182 0.750 (multiplicity 4)
In2 0.000 0.495 0.750 (multiplicity 4)
Ir1 0.218 0.151 0.250 (multiplicity 8)


No. 7
Dy6In2Ir: optimized geometry, PBE.

Results
Magnetization ... 0.00 μB per cell
Relative energy among the computed polymorphs ... 0.0 meV/atom
Calculated total energy ... -5.129 eV per atom
Energy relative to the elements ... -0.47 eV/atom
Crystal system ... orthorhombic
Mass density ... 9.33 g cm⁻³

a = 3.850 Å, b = 14.904 Å, c = 8.669 Å
α = 90.00°, β = 90.00°, γ = 90.00°
Space group Amm2 (No. 38)
Symmetry-distinct sites (fractional):
Dy1 0.000 0.000 0.000 (multiplicity 2)
Dy2 0.000 0.119 0.631 (multiplicity 4)
Dy3 0.500 0.000 0.359 (multiplicity 2)
Dy4 0.500 0.195 0.947 (multiplicity 4)
In1 0.000 0.168 0.253 (multiplicity 4)
Ir1 0.500 0.000 0.761 (multiplicity 2)


No. 8
Dy5In2Ir2: optimized geometry, PBE.

Results
Magnetization ... 0.00 μB per cell
Calculated total energy ... -5.748 eV per atom
Energy relative to the elements ... -0.61 eV/atom
Crystal system ... orthorhombic
Mass density ... 10.06 g cm⁻³

a = 16.352 Å, b = 7.663 Å, c = 7.517 Å
α = 90.00°, β = 90.00°, γ = 90.00°
Space group Cmce (No. 64)
Symmetry-distinct sites (fractional):
Dy1 0.000 0.000 0.000 (multiplicity 4)
Dy2 0.115 0.171 0.334 (multiplicity 16)
In1 0.220 0.000 0.000 (multiplicity 8)
Ir1 0.000 0.133 0.634 (multiplicity 8)


mass density of number 6 (Dy3InIr)?
9.17 g cm⁻³